This record from Alexandria via LeMat-Bulk describes YCoSe2 after structural relaxation. The functional is PBE-GGA.

Output
- raw formation energy (eV/atom) = -0.584
- calculated density (g/cm3) = 5.98
- final energy (eV per atom) = -5.719
- DOS(E_F) (states/eV per cell) = 3.75

CIF file:
```
data_YCoSe2
_symmetry_space_group_name_H-M 'C m m m'
_symmetry_Int_Tables_number 65
_symmetry_space_group_name_Hall '-C 2 2'
_cell_length_a 4.083
_cell_length_b 6.001
_cell_length_c 6.927
_cell_angle_alpha 90.00
_cell_angle_beta 90.00
_cell_angle_gamma 90.00
loop_
_atom_site_label
_atom_site_type_symbol
_atom_site_fract_x
_atom_site_fract_y
_atom_site_fract_z
_atom_site_occupancy
Y1 Y 0.000 0.000 0.000 1
Co1 Co 0.000 0.000 0.500 1
Se1 Se 0.000 0.500 0.273 1
```